GGA-PBE SrScAlHg2, optimized geometry; N(E_F) = 0.9006 states/eV/atom; energy relative to the lowest polymorph listed for this composition = 0.324 eV/atom; total energy = -2.10 eV per atom
1.0
5.1228 0.0000 0.0000
0.0000 5.8008 0.0000
0.0000 0.0000 5.1228
Al Sr Hg Sc
1 1 2 1
direct
0.0000 0.0000 0.0000
0.0000 0.5000 0.0000
0.5000 0.0000 0.0000
0.0000 0.0000 0.5000
0.5000 0.5000 0.5000